{
  "formula": "Gd3Sn5S12",
  "functional": "PBE",
  "state": "relaxed",
  "lattice": [[13.863, 0.000, 0.000], [-4.621, 13.070, 0.000], [-4.621, -6.535, 11.319]],
  "species": ["Gd", "Gd", "Gd", "Gd", "Gd", "Gd", "Gd", "Gd", "Gd", "Gd", "Gd", "Gd", "Sn", "Sn", "Sn", "Sn", "Sn", "Sn", "Sn", "Sn", "Sn", "Sn", "Sn", "Sn", "Sn", "Sn", "Sn", "Sn", "Sn", "Sn", "Sn", "Sn", "S", "S", "S", "S", "S", "S", "S", "S", "S", "S", "S", "S", "S", "S", "S", "S", "S", "S", "S", "S", "S", "S", "S", "S", "S", "S", "S", "S", "S", "S", "S", "S", "S", "S", "S", "S", "S", "S", "S", "S", "S", "S", "S", "S", "S", "S", "S", "S"],
  "fractional_positions": [[0.750, 0.375, 0.125], [0.875, 0.750, 0.125], [0.375, 0.750, 0.625], [0.250, 0.125, 0.375], [0.875, 0.125, 0.250], [0.375, 0.625, 0.250], [0.625, 0.375, 0.750], [0.125, 0.875, 0.750], [0.750, 0.875, 0.625], [0.625, 0.250, 0.375], [0.125, 0.250, 0.875], [0.250, 0.625, 0.875], [0.125, 0.375, 0.250], [0.000, 0.500, 0.000], [0.000, 0.000, 0.000], [0.375, 0.250, 0.125], [0.500, 0.000, 0.500], [0.500, 0.500, 0.000], [0.125, 0.750, 0.375], [0.750, 0.125, 0.875], [0.750, 0.625, 0.375], [0.375, 0.125, 0.750], [0.625, 0.875, 0.250], [0.500, 0.500, 0.500], [0.500, 0.000, 0.000], [0.000, 0.000, 0.500], [0.250, 0.375, 0.625], [0.250, 0.875, 0.125], [0.000, 0.500, 0.500], [0.875, 0.250, 0.625], [0.625, 0.750, 0.875], [0.875, 0.625, 0.750], [0.724, 0.137, 0.047], [0.323, 0.547, 0.410], [0.953, 0.363, 0.276], [0.547, 0.224, 0.137], [0.587, 0.724, 0.677], [0.953, 0.590, 0.177], [0.323, 0.776, 0.413], [0.090, 0.913, 0.137], [0.590, 0.953, 0.677], [0.724, 0.587, 0.177], [0.776, 0.453, 0.363], [0.823, 0.910, 0.047], [0.137, 0.724, 0.547], [0.363, 0.410, 0.087], [0.087, 0.910, 0.363], [0.413, 0.137, 0.590], [0.087, 0.177, 0.224], [0.453, 0.677, 0.090], [0.823, 0.913, 0.276], [0.137, 0.413, 0.090], [0.363, 0.953, 0.776], [0.590, 0.637, 0.413], [0.910, 0.823, 0.547], [0.776, 0.323, 0.913], [0.410, 0.363, 0.587], [0.090, 0.177, 0.453], [0.224, 0.677, 0.087], [0.177, 0.087, 0.724], [0.637, 0.047, 0.224], [0.863, 0.587, 0.910], [0.547, 0.323, 0.910], [0.587, 0.863, 0.410], [0.913, 0.823, 0.776], [0.913, 0.090, 0.637], [0.863, 0.276, 0.453], [0.177, 0.090, 0.953], [0.637, 0.590, 0.913], [0.410, 0.047, 0.323], [0.276, 0.413, 0.823], [0.224, 0.547, 0.637], [0.910, 0.087, 0.863], [0.677, 0.224, 0.587], [0.453, 0.776, 0.863], [0.047, 0.410, 0.823], [0.413, 0.276, 0.323], [0.047, 0.637, 0.724], [0.677, 0.453, 0.590], [0.276, 0.863, 0.953]],
  "total_magnetization_mub_per_fu": 20.72,
  "formation_energy_uncorrected_ev_per_atom": -0.92,
  "crystal_system": "cubic"
}

{
  "formula": "Tb12PmY7",
  "functional": "PBE",
  "state": "relaxed",
  "lattice": [[-7.073, 2.968, -6.090], [6.431, -5.519, -4.909], [-3.940, -5.258, 7.263]],
  "species": ["Tb", "Tb", "Tb", "Tb", "Tb", "Tb", "Tb", "Tb", "Tb", "Tb", "Tb", "Tb", "Pm", "Y", "Y", "Y", "Y", "Y", "Y", "Y"],
  "fractional_positions": [[0.495, 0.747, 0.748], [0.999, 0.747, 0.252], [0.505, 0.253, 0.252], [0.001, 0.253, 0.748], [0.748, 0.001, 0.253], [0.748, 0.495, 0.747], [0.252, 0.999, 0.747], [0.252, 0.505, 0.253], [0.747, 0.748, 0.495], [0.253, 0.252, 0.505], [0.747, 0.252, 0.999], [0.253, 0.748, 0.001], [0.000, 0.000, 0.000], [0.500, 0.500, 0.000], [0.000, 0.500, 0.500], [0.500, 0.000, 0.500], [0.500, 0.500, 0.500], [0.000, 0.000, 0.500], [0.500, 0.000, 0.000], [0.000, 0.500, 0.000]],
  "polymorph_energy_ev_per_atom": 0.465,
  "total_magnetization_mub_per_fu": 0.00,
  "formation_energy_mev_per_atom": 711.4,
  "crystal_system": "cubic"
}

{
  "formula": "KCO3",
  "functional": "PBE",
  "state": "relaxed",
  "lattice": [[10.033, 0.000, 0.000], [0.000, 4.147, -0.418], [0.000, 2.537, 8.552]],
  "species": ["K", "K", "K", "K", "C", "C", "C", "C", "O", "O", "O", "O", "O", "O", "O", "O", "O", "O", "O", "O"],
  "fractional_positions": [[0.753, 0.748, 0.002], [0.247, 0.252, 0.998], [0.253, 0.252, 0.498], [0.747, 0.748, 0.502], [0.539, 0.250, 0.250], [0.461, 0.750, 0.750], [0.039, 0.750, 0.250], [0.961, 0.250, 0.750], [0.601, 0.304, 0.369], [0.399, 0.696, 0.631], [0.101, 0.696, 0.131], [0.899, 0.304, 0.869], [0.413, 0.252, 0.245], [0.587, 0.748, 0.755], [0.913, 0.748, 0.255], [0.087, 0.252, 0.745], [0.609, 0.193, 0.136], [0.391, 0.807, 0.864], [0.109, 0.807, 0.364], [0.891, 0.193, 0.636]],
  "total_magnetization_mub_per_fu": 1.00,
  "formation_energy_uncorrected_ev_per_atom": -1.43,
  "crystal_system": "monoclinic"
}

{
  "formula": "NdHoTm4",
  "functional": "PBE",
  "state": "relaxed",
  "lattice": [[3.330, -0.578, 1.014], [-3.443, 9.514, -7.637], [2.741, -6.585, 11.600]],
  "species": ["Nd", "Ho", "Tm", "Tm", "Tm", "Tm"],
  "fractional_positions": [[0.500, 0.000, 0.500], [0.000, 0.000, 0.000], [0.830, 0.665, 0.500], [0.170, 0.335, 0.500], [0.341, 0.671, 0.000], [0.659, 0.329, 0.000]],
  "polymorph_energy_ev_per_atom": 0.000,
  "total_magnetization_mub_per_fu": 0.00,
  "formation_energy_mev_per_atom": 24.9,
  "crystal_system": "monoclinic"
}